DFT (GGA-PBE) results for an optimized crystal structure of LaHo6Te8.

Properties
Final energy, eV/atom: -5.05
Energy above the lowest structure with this stoichiometry, meV per atom: 141
Total moment, Bohr magnetons per cell: 0.00
N(E_F), states/eV/f.u.: 9.23

```
data_LaHo6Te8
_chemical_formula_sum 'La3 Ho18 Te24'
_space_group_name_H-M_alt 'R -3'
_space_group_IT_number 148
_space_group_name_Hall '-R 3'
_cell_length_a 9.3363
_cell_length_b 9.3363
_cell_length_c 18.4416
_cell_angle_alpha 90.00
_cell_angle_beta 90.00
_cell_angle_gamma 120.00
loop_
_atom_site_label
_atom_site_fract_x
_atom_site_fract_y
_atom_site_fract_z
La1 0.0000 0.0000 0.0000
Ho1 0.0033 0.3807 0.0737
Te1 0.0000 0.0000 0.3245
Te2 0.0082 0.7182 0.0946
```


DFT (GGA-PBE) results for an optimized crystal structure of Eu2PdI.

Properties
Final energy, eV/atom: -7.77
Energy above the lowest structure with this stoichiometry, meV per atom: 0
Total moment, Bohr magnetons per cell: 43.59
N(E_F), states/eV/f.u.: 21.62

```
data_Eu2PdI
_chemical_formula_sum 'Eu6 Pd3 I3'
_space_group_name_H-M_alt 'R -3 m'
_space_group_IT_number 166
_space_group_name_Hall '-R 3 2"'
_cell_length_a 4.3375
_cell_length_b 4.3375
_cell_length_c 24.2941
_cell_angle_alpha 90.00
_cell_angle_beta 90.00
_cell_angle_gamma 120.00
loop_
_atom_site_label
_atom_site_fract_x
_atom_site_fract_y
_atom_site_fract_z
Eu1 0.0000 0.0000 0.2337
Pd1 0.0000 0.0000 0.5000
I1 0.0000 0.0000 0.0000
```


DFT (GGA-PBE) results for an optimized crystal structure of ThOsCl.

Properties
Final energy, eV/atom: -7.87
Energy above the lowest structure with this stoichiometry, meV per atom: 0
Total moment, Bohr magnetons per cell: 0.00
N(E_F), states/eV/f.u.: 1.69

```
data_ThOsCl
_chemical_formula_sum 'Th4 Os4 Cl4'
_space_group_name_H-M_alt 'C 1 2/m 1'
_space_group_IT_number 12
_space_group_name_Hall '-C 2y'
_cell_length_a 7.408
_cell_length_b 4.280
_cell_length_c 10.918
_cell_angle_alpha 90.00
_cell_angle_beta 91.85
_cell_angle_gamma 90.00
loop_
_atom_site_label
_atom_site_fract_x
_atom_site_fract_y
_atom_site_fract_z
Th1 0.009 0.000 0.177
Os1 0.166 0.500 0.978
Cl1 0.183 0.500 0.339
```


Repeat the first record exactly.
DFT (GGA-PBE) results for an optimized crystal structure of LaHo6Te8.

Properties
Final energy, eV/atom: -5.05
Energy above the lowest structure with this stoichiometry, meV per atom: 141
Total moment, Bohr magnetons per cell: 0.00
N(E_F), states/eV/f.u.: 9.23

```
data_LaHo6Te8
_chemical_formula_sum 'La3 Ho18 Te24'
_space_group_name_H-M_alt 'R -3'
_space_group_IT_number 148
_space_group_name_Hall '-R 3'
_cell_length_a 9.3363
_cell_length_b 9.3363
_cell_length_c 18.4416
_cell_angle_alpha 90.00
_cell_angle_beta 90.00
_cell_angle_gamma 120.00
loop_
_atom_site_label
_atom_site_fract_x
_atom_site_fract_y
_atom_site_fract_z
La1 0.0000 0.0000 0.0000
Ho1 0.0033 0.3807 0.0737
Te1 0.0000 0.0000 0.3245
Te2 0.0082 0.7182 0.0946
```


Question: Among the records above, which one has the lowest N(E_F)?
Answer: ThOsCl


Question: The highest N(E_F) belongs to which entry?
Answer: Eu2PdI